[1]
RbTmMo2O8: relaxed, PBE+U.

Lattice parameters (Å, degrees): 7.506 7.506 7.732 118.22 118.22 87.67
Positions (direct):
Rb 0.195 0.805 0.750
Rb 0.805 0.195 0.250
Tm 0.228 0.772 0.250
Tm 0.772 0.228 0.750
Mo 0.304 0.306 0.765
Mo 0.306 0.304 0.265
Mo 0.694 0.696 0.735
Mo 0.696 0.694 0.235
O 0.047 0.216 0.701
O 0.063 0.373 0.118
O 0.216 0.047 0.201
O 0.234 0.388 0.565
O 0.370 0.590 0.038
O 0.373 0.063 0.618
O 0.388 0.234 0.065
O 0.410 0.630 0.462
O 0.590 0.370 0.538
O 0.612 0.766 0.935
O 0.627 0.937 0.382
O 0.630 0.410 0.962
O 0.766 0.612 0.435
O 0.784 0.953 0.799
O 0.937 0.627 0.882
O 0.953 0.784 0.299

Calculated values
Energy in Ha/atom: -0.2608


[2]
Rb2U3MoO12: relaxed, PBE+U.

Lattice parameters (Å, degrees): 7.698 7.698 7.698 61.99 61.99 61.99
Positions (direct):
Rb 0.128 0.128 0.128
Rb 0.872 0.872 0.872
U 0.000 0.500 0.500
U 0.500 0.000 0.500
U 0.500 0.500 0.000
Mo 0.500 0.500 0.500
O 0.180 0.180 0.563
O 0.180 0.563 0.180
O 0.192 0.559 0.559
O 0.437 0.820 0.820
O 0.441 0.441 0.808
O 0.441 0.808 0.441
O 0.559 0.192 0.559
O 0.559 0.559 0.192
O 0.563 0.180 0.180
O 0.808 0.441 0.441
O 0.820 0.437 0.820
O 0.820 0.820 0.437

Calculated values
Energy in Ha/atom: -0.3086


[3]
RbU2MoO8: relaxed, PBE+U.

Lattice parameters (Å, degrees): 5.147 5.156 7.128 88.57 88.53 87.10
Positions (direct):
Rb 0.000 0.000 0.000
U 0.493 0.492 0.255
U 0.507 0.508 0.745
Mo 0.000 0.000 0.500
O 0.222 0.772 0.704
O 0.230 0.781 0.296
O 0.304 0.307 0.488
O 0.340 0.345 0.981
O 0.660 0.655 0.019
O 0.696 0.693 0.512
O 0.770 0.219 0.704
O 0.778 0.228 0.296

Calculated values
Energy in Ha/atom: -0.3089


V, respectively: 13.697 18.716 15.733 Å³ per atom.